# K3Co2PbF9 (PBE+U, optimized geometry)
# Crystal system: trigonal
# Total DFT energy (no corrections): -0.3467 Ry per atom
# Total magnetization: 0.399 μB per atom
data_K3Co2PbF9
_chemical_formula_sum 'K3 Co2 Pb1 F9'
_space_group_name_H-M_alt 'P -3 m 1'
_space_group_IT_number 164
_space_group_name_Hall '-P 3 2"'
_cell_length_a 6.0148
_cell_length_b 6.0148
_cell_length_c 7.9340
_cell_angle_alpha 90.00
_cell_angle_beta 90.00
_cell_angle_gamma 120.00
loop_
_atom_site_label
_atom_site_fract_x
_atom_site_fract_y
_atom_site_fract_z
K1 0.0000 0.0000 0.0000
K2 0.3333 0.6667 0.7224
Co1 0.3333 0.6667 0.1517
Pb1 0.0000 0.0000 0.5000
F1 0.0000 0.5000 0.0000
F2 0.1734 0.3468 0.2974